Hg2BiF (PBE-GGA, relaxed); excess energy over the best structure of this formula in the dataset = 0 meV/atom; total magnetic moment = 0.000 Bohr magnetons per cell; Fermi-level density of states = 1.753 states/eV/f.u.; VASP energy = -2.116 eV per atom; V = 99.1 Å³ per cell; energy relative to the elements, uncorrected = -51 kJ per mole of atoms
1.0
1.7202 0.9932 9.6664
-1.7202 0.9932 9.6664
0.0000 -1.9863 9.6664
Hg Bi F
2 1 1
direct
0.1045 0.1045 0.1045
0.8955 0.8955 0.8955
0.0000 0.0000 0.0000
0.5000 0.5000 0.5000